Record 1
MnV3Ni7 | PBE-GGA | optimized geometry

Values from the calculation:
Crystal system: monoclinic

Lattice parameters (Å, degrees): 8.042 8.601 4.500 90.00 116.15 90.00
Space group C2/m (No. 12)
One atom of each set of equivalent atoms:
Mn: 0.000 0.000 0.000 (multiplicity 2)
V: 0.000 0.267 0.500 (multiplicity 4)
V: 0.000 0.500 0.000 (multiplicity 2)
Ni: 0.000 0.000 0.500 (multiplicity 2)
Ni: 0.174 0.268 0.180 (multiplicity 8)
Ni: 0.180 0.500 0.587 (multiplicity 4)

Record 2
MnV7Ni12 | PBE-GGA | optimized geometry

Values from the calculation:
Crystal system: trigonal

Lattice parameters (Å, degrees): 12.0832 12.0832 5.8419 90.00 90.00 120.00
Space group R-3m (No. 166, hexagonal axes)
One atom of each set of equivalent atoms:
Mn: 0.0000 0.0000 0.0000 (multiplicity 3)
V: 0.0000 0.0000 0.5000 (multiplicity 3)
V: 0.1097 0.2195 0.8033 (multiplicity 18)
Ni: 0.0000 0.2740 0.5000 (multiplicity 18)
Ni: 0.1090 0.5545 0.8844 (multiplicity 18)

Record 3
MnV3Ni | PBE-GGA | optimized geometry

Values from the calculation:
Energy above the most stable polymorph in this dataset: 106.4 meV/atom
Crystal system: cubic

Lattice parameters (Å, degrees): 4.349 4.349 4.349 90.00 90.00 90.00
Space group Pm-3m (No. 221)
One atom of each set of equivalent atoms:
Mn: 0.000 0.000 0.000 (multiplicity 1)
V: 0.000 0.500 0.500 (multiplicity 3)
Ni: 0.500 0.500 0.500 (multiplicity 1)

Record 4
MnV6Ni12 | PBE-GGA | optimized geometry

Values from the calculation:
Crystal system: trigonal

Lattice parameters (Å, degrees): 8.6383 8.6383 10.5022 90.00 90.00 120.00
Space group R-3 (No. 148, hexagonal axes)
One atom of each set of equivalent atoms:
Mn: 0.0000 0.0000 0.0000 (multiplicity 3)
V: 0.0301 0.4333 0.7138 (multiplicity 18)
Ni: 0.0377 0.1833 0.8112 (multiplicity 18)
Ni: 0.0594 0.8575 0.4103 (multiplicity 18)

Record 5
MnV2Ni8 | PBE-GGA | optimized geometry

Values from the calculation:
Energy above the most stable polymorph in this dataset: 63.3 meV/atom
Crystal system: orthorhombic

Lattice parameters (Å, degrees): 4.354 4.893 12.422 90.00 90.00 90.00
Space group Immm (No. 71)
One atom of each set of equivalent atoms:
Mn: 0.000 0.000 0.000 (multiplicity 2)
V: 0.000 0.500 0.182 (multiplicity 4)
Ni: 0.000 0.000 0.199 (multiplicity 4)
Ni: 0.000 0.262 0.365 (multiplicity 8)
Ni: 0.248 0.500 0.000 (multiplicity 4)

Record 6
MnVNi | PBE-GGA | optimized geometry

Values from the calculation:
Energy above the most stable polymorph in this dataset: 0.0 meV/atom
Crystal system: tetragonal

Lattice parameters (Å, degrees): 2.990 2.990 8.190 90.00 90.00 90.00
Space group I4mm (No. 107)
One atom of each set of equivalent atoms:
Mn: 0.000 0.000 0.000 (multiplicity 2)
V: 0.000 0.000 0.661 (multiplicity 2)
Ni: 0.000 0.000 0.327 (multiplicity 2)

Record 7
MnVNi4 | PBE-GGA | optimized geometry

Values from the calculation:
Crystal system: monoclinic

Lattice parameters (Å, degrees): 4.372 7.588 4.351 90.00 109.60 90.00
Space group C2/m (No. 12)
One atom of each set of equivalent atoms:
Mn: 0.000 0.000 0.000 (multiplicity 2)
V: 0.000 0.500 0.500 (multiplicity 2)
Ni: 0.000 0.167 0.500 (multiplicity 4)
Ni: 0.000 0.332 0.000 (multiplicity 4)

Record 8
MnVNi4 | PBE-GGA | optimized geometry

Values from the calculation:
Crystal system: orthorhombic

Lattice parameters (Å, degrees): 4.001 11.597 6.634 90.00 90.00 90.00
Space group Cmcm (No. 63)
One atom of each set of equivalent atoms:
Mn: 0.000 0.121 0.250 (multiplicity 4)
V: 0.000 0.332 0.250 (multiplicity 4)
Ni: 0.000 0.074 0.750 (multiplicity 4)
Ni: 0.000 0.277 0.579 (multiplicity 8)
Ni: 0.000 0.500 0.000 (multiplicity 4)

Record 9
Mn2V2Ni | PBE-GGA | optimized geometry

Values from the calculation:
Crystal system: tetragonal

Lattice parameters (Å, degrees): 6.479 6.479 2.920 90.00 90.00 90.00
Space group P4/mbm (No. 127)
One atom of each set of equivalent atoms:
Mn: 0.118 0.382 0.000 (multiplicity 4)
V: 0.196 0.696 0.500 (multiplicity 4)
Ni: 0.000 0.000 0.000 (multiplicity 2)

Record 10
MnV2Ni | PBE-GGA | optimized geometry

Values from the calculation:
Crystal system: tetragonal

Lattice parameters (Å, degrees): 6.448 6.448 4.968 90.00 90.00 90.00
Space group I-42d (No. 122)
One atom of each set of equivalent atoms:
Mn: 0.000 0.000 0.000 (multiplicity 4)
V: 0.248 0.250 0.125 (multiplicity 8)
Ni: 0.000 0.000 0.500 (multiplicity 4)

Record 11
MnV2Ni | PBE-GGA | optimized geometry

Values from the calculation:
Crystal system: tetragonal

Lattice parameters (Å, degrees): 4.046 4.046 2.957 90.00 90.00 90.00
Space group P4/mmm (No. 123)
One atom of each set of equivalent atoms:
Mn: 0.000 0.000 0.000 (multiplicity 1)
V: 0.000 0.500 0.500 (multiplicity 2)
Ni: 0.500 0.500 0.000 (multiplicity 1)

Record 12
MnV3Ni | PBE-GGA | optimized geometry

Values from the calculation:
Energy above the most stable polymorph in this dataset: 0.0 meV/atom
Crystal system: cubic

Lattice parameters (Å, degrees): 4.241 4.241 4.241 90.00 90.00 90.00
Space group Pm-3m (No. 221)
One atom of each set of equivalent atoms:
Mn: 0.000 0.000 0.000 (multiplicity 1)
V: 0.000 0.000 0.500 (multiplicity 3)
Ni: 0.500 0.500 0.500 (multiplicity 1)

Number 1: magnetization 6.49 μB/cell, energy of formation from the pure elements 0.1898 eV/atom. Number 2: magnetization 0.97 μB/cell, energy of formation from the pure elements 0.1139 eV/atom. Number 3: magnetization 1.74 μB/cell, energy of formation from the pure elements 0.9849 eV/atom. Number 4: magnetization 0.06 μB/cell, energy of formation from the pure elements -0.0308 eV/atom. Number 5: magnetization 8.29 μB/cell, energy of formation from the pure elements 0.0074 eV/atom. Number 6: magnetization 4.31 μB/cell, energy of formation from the pure elements -0.0433 eV/atom. Number 7: magnetization 3.93 μB/cell, energy of formation from the pure elements -0.1551 eV/atom. Number 8: magnetization 12.76 μB/cell, energy of formation from the pure elements 0.2649 eV/atom. Number 9: magnetization 0.00 μB/cell, energy of formation from the pure elements 0.1166 eV/atom. Number 10: magnetization 3.66 μB/cell, energy of formation from the pure elements 0.3587 eV/atom. Number 11: magnetization 1.02 μB/cell, energy of formation from the pure elements -0.1047 eV/atom. Number 12: magnetization 0.00 μB/cell, energy of formation from the pure elements 0.8785 eV/atom.